Computed, not measured: HfMnRe2 after structural relaxation at the PBEsol level of DFT.

Properties
D(E_F), states/eV/cell: 4.9
Raw total energy, eV per atom: -11.652
M_tot, μB per cell: 1.460
Energy of formation from the pure elements, eV/f.u.: 0.3

Cell lengths 4.385, 4.385, 4.385 Å; angles 60.00, 60.00, 60.00 degrees
Atoms (fractional coordinates):
Hf (0.000, 0.000, 0.000)
Mn (0.500, 0.500, 0.500)
Re (0.250, 0.250, 0.250)
Re (0.750, 0.750, 0.750)

=====

Computed, not measured: Hf3MnRe after structural relaxation at the PBEsol level of DFT.

Properties
D(E_F), states/eV/cell: 6.8
Raw total energy, eV per atom: -10.133
M_tot, μB per cell: 0.000
Energy of formation from the pure elements, eV/f.u.: 3.9

Cell lengths 4.583, 4.583, 4.583 Å; angles 90.00, 90.00, 90.00 degrees
Atoms (fractional coordinates):
Hf (0.000, 0.000, 0.500)
Hf (0.000, 0.500, 0.000)
Hf (0.500, 0.000, 0.000)
Mn (0.000, 0.000, 0.000)
Re (0.500, 0.500, 0.500)

=====

Computed, not measured: Hf2MnZnRe after structural relaxation at the PBEsol level of DFT.

Properties
D(E_F), states/eV/cell: 4.5
Raw total energy, eV per atom: -8.459
M_tot, μB per cell: 0.001
Energy of formation from the pure elements, eV/f.u.: 3.4

Cell lengths 4.711, 4.711, 4.309 Å; angles 90.00, 90.00, 90.00 degrees
Atoms (fractional coordinates):
Hf (0.000, 0.500, 0.000)
Hf (0.500, 0.000, 0.000)
Mn (0.000, 0.000, 0.000)
Zn (0.500, 0.500, 0.500)
Re (0.000, 0.000, 0.500)

=====

Computed, not measured: HfMnRh2 after structural relaxation at the PBEsol level of DFT.

Properties
D(E_F), states/eV/cell: 1.0
Raw total energy, eV per atom: -9.709
M_tot, μB per cell: 4.698
Energy of formation from the pure elements, eV/f.u.: -2.3

Cell lengths 4.401, 4.401, 4.401 Å; angles 60.00, 60.00, 60.00 degrees
Atoms (fractional coordinates):
Hf (0.000, 0.000, 0.000)
Mn (0.500, 0.500, 0.500)
Rh (0.250, 0.250, 0.250)
Rh (0.750, 0.750, 0.750)

=====

Computed, not measured: Hf2MnRh after structural relaxation at the PBEsol level of DFT.

Properties
D(E_F), states/eV/cell: 1.4
Raw total energy, eV per atom: -10.268
M_tot, μB per cell: 0.000
Energy of formation from the pure elements, eV/f.u.: -2.2

Cell lengths 4.475, 4.475, 4.475 Å; angles 60.00, 60.00, 60.00 degrees
Atoms (fractional coordinates):
Hf (0.250, 0.250, 0.250)
Hf (0.750, 0.750, 0.750)
Mn (0.000, 0.000, 0.000)
Rh (0.500, 0.500, 0.500)

=====

Computed, not measured: HfMnS2 after structural relaxation at the PBEsol level of DFT.

Properties
D(E_F), states/eV/cell: 2.2
E_form (uncorrected), eV/f.u.: -3.173
Raw total energy, eV per atom: -8.051
M_tot, μB per cell: 4.137

Cell lengths 7.943, 7.943, 7.943 Å; angles 24.97, 24.97, 24.97 degrees
Atoms (fractional coordinates):
Hf (0.000, 0.000, 0.000)
Mn (0.500, 0.500, 0.500)
S (0.401, 0.401, 0.401)
S (0.599, 0.599, 0.599)

=====

Computed, not measured: HfMnSe2 after structural relaxation at the PBEsol level of DFT.

Properties
D(E_F), states/eV/cell: 4.1
E_form (uncorrected), eV/f.u.: -0.800
Raw total energy, eV per atom: -7.191
M_tot, μB per cell: 2.090

Cell lengths 8.572, 8.572, 8.572 Å; angles 21.64, 21.64, 21.64 degrees
Atoms (fractional coordinates):
Hf (0.000, 0.000, 0.000)
Mn (0.500, 0.500, 0.500)
Se (0.106, 0.106, 0.106)
Se (0.894, 0.894, 0.894)

=====

Computed, not measured: HfMn3Si after structural relaxation at the PBEsol level of DFT.

Properties
D(E_F), states/eV/cell: 4.7
E_form (uncorrected), eV/f.u.: 1.997
Raw total energy, eV per atom: -8.707
M_tot, μB per cell: 4.999

Cell lengths 4.202, 4.202, 4.202 Å; angles 90.00, 90.00, 90.00 degrees
Atoms (fractional coordinates):
Hf (0.000, 0.000, 0.000)
Mn (0.000, 0.500, 0.500)
Mn (0.500, 0.000, 0.500)
Mn (0.500, 0.500, 0.000)
Si (0.500, 0.500, 0.500)